Ac2ScSb4Ir3 | the Alexandria database | PBE | relaxed; formation energy from raw total energies = -0.74 eV/atom; D(E_F) = 3.9 states/eV per cell; VASP energy = -6.5059 eV/atom
1.0
4.617 0.000 0.000
0.000 4.617 0.000
0.000 0.000 11.269
Ac Sc Sb Ir
2 1 4 3
direct
0.500 0.000 0.239
0.000 0.500 0.761
0.500 0.500 0.500
0.500 0.500 0.000
0.000 0.000 0.000
0.500 0.000 0.644
0.000 0.500 0.356
0.000 0.000 0.500
0.500 0.000 0.883
0.000 0.500 0.117